# 1
Here is a relaxed TbPm2RuO8 crystal from Alexandria. Energies are from PBE.

Output
**Energy**: -90.8 eV for the cell shown
**SG**: Cmmm (65)
**Uncorrected formation energy**: -2314.5 meV per atom

a b c (Å): 5.1479 5.1479 6.8855
angles (deg): 90.00 90.00 90.46
With the nearest neighbours (Å) after each atom.
Sites, in units of the cell vectors:
Tb 0.0000 0.0000 0.0000  6 O 2.21-2.39
Pm 0.5000 0.5000 0.2504  6 O 2.23-2.45
Pm 0.5000 0.5000 0.7496  6 O 2.23-2.45
Ru 0.0000 0.0000 0.5000  6 O 1.88-1.95
O 0.1788 0.8212 0.2905  1 Ru 1.95
O 0.1788 0.8212 0.7095  1 Ru 1.95
O 0.2586 0.2586 0.5000  1 Ru 1.88
O 0.3046 0.3046 0.0000  1 Tb 2.21, 2 Pm 2.23
O 0.6954 0.6954 0.0000  1 Tb 2.21, 2 Pm 2.23
O 0.7414 0.7414 0.5000  1 Ru 1.88
O 0.8212 0.1788 0.2905  1 Ru 1.95
O 0.8212 0.1788 0.7095  1 Ru 1.95

---

# 2
Here is a relaxed ZrCrOs2 crystal from Alexandria. Energies are from PBE.

Output
**Energy of formation**: 0.1990 eV/atom
**Energy**: -119.5 eV for the cell shown
**SG**: R-3m (166)

a b c (Å): 2.7795 2.7795 27.5124
angles (deg): 90.00 90.00 120.00
With the nearest neighbours (Å) after each atom.
Sites, in units of the cell vectors:
Zr 0.0000 0.0000 0.0000  6 Zr 2.78, 6 Os 3.03
Zr 0.3333 0.6667 0.6667  6 Zr 2.78, 6 Os 3.03
Zr 0.6667 0.3333 0.3333  6 Zr 2.78, 6 Os 3.03
Cr 0.0000 0.0000 0.5000  6 Os 2.57, 6 Cr 2.78
Cr 0.3333 0.6667 0.1667  6 Os 2.57, 6 Cr 2.78
Cr 0.6667 0.3333 0.8333  6 Os 2.57, 6 Cr 2.78
Os 0.0000 0.0000 0.2398  3 Cr 2.57, 6 Os 2.78
Os 0.0000 0.0000 0.7602  3 Cr 2.57, 6 Os 2.78
Os 0.3333 0.6667 0.4269  3 Cr 2.57, 6 Os 2.78
Os 0.3333 0.6667 0.9064  3 Cr 2.57, 6 Os 2.78
Os 0.6667 0.3333 0.0936  3 Cr 2.57, 6 Os 2.78
Os 0.6667 0.3333 0.5731  3 Cr 2.57, 6 Os 2.78

---

# 3
Here is a relaxed TcP2CO crystal from Alexandria. Energies are from PBE.

Output
**Energy**: -30.3 eV for the cell shown
**SG**: P4/mmm (123)
**Uncorrected formation energy**: 1020.0 meV per atom

a b c (Å): 3.7975 3.7975 3.8490
angles (deg): 90.00 90.00 90.00
With the nearest neighbours (Å) after each atom.
Sites, in units of the cell vectors:
Tc 0.0000 0.0000 0.0000  4 O 2.69, 8 P 2.70
P 0.0000 0.5000 0.5000  2 C 1.90
P 0.5000 0.0000 0.5000  2 C 1.90
C 0.5000 0.5000 0.5000  4 P 1.90, 2 O 1.92
O 0.5000 0.5000 0.0000  2 C 1.92

---

# 4
Here is a relaxed TeBr crystal from Alexandria. Energies are from PBE.

Output
**Energy**: -18.9 eV for the cell shown
**SG**: Cmme (67)
**Uncorrected formation energy**: 49.8 meV per atom

a b c (Å): 3.9095 9.3786 9.5767
angles (deg): 90.00 90.00 90.00
With the nearest neighbours (Å) after each atom.
Sites, in units of the cell vectors:
Te 0.0000 0.2500 0.1062  2 Te 2.82, 2 Br 2.99
Te 0.0000 0.7500 0.8938  2 Te 2.82, 2 Br 2.99
Te 0.5000 0.2500 0.8938  2 Te 2.82, 2 Br 2.99
Te 0.5000 0.7500 0.1062  2 Te 2.82, 2 Br 2.99
Br 0.0000 0.2500 0.6578  2 Te 2.99
Br 0.0000 0.7500 0.3422  2 Te 2.99
Br 0.5000 0.2500 0.3422  2 Te 2.99
Br 0.5000 0.7500 0.6578  2 Te 2.99

---

no.,magnetic moment (μB/f.u.)
1,1.03
2,0.00
3,0.00
4,0.00